Entry 1:
NaH2Se: optimized geometry, PBE.

space-group type = I4_1/amd, No. 141
V = 117 Å³ per cell
total DFT energy (no corrections) = -22.18 eV for the cell shown
DOS at the Fermi energy = 0.635 states/eV/f.u.

abc: 7.5015 7.5015 7.5015
angles: 148.18 148.18 45.61
Sites, in units of the cell vectors:
Na: 0.3750 0.6250 0.7500
Na: 0.6250 0.3750 0.2500
H: 0.0000 0.0000 0.0000
H: 0.0000 0.0000 0.5000
H: 0.0000 0.5000 0.0000
H: 0.5000 0.0000 0.5000
Se: 0.1250 0.8750 0.2500
Se: 0.8750 0.1250 0.7500

---

Entry 2:
Zr2TeSe: optimized geometry, PBE.

space-group type = Cm, No. 8
V = 88 Å³ per cell
formation energy without anion corrections = -0.882 eV per atom
DOS at the Fermi energy = 2.313 states/eV/f.u.

abc: 5.3471 5.3471 5.0150
angles: 100.81 100.81 38.64
Sites, in units of the cell vectors:
Zr: 0.0000 0.0000 0.0000
Zr: 0.2308 0.2308 0.6294
Te: 0.7347 0.7347 0.1319
Se: 0.5034 0.5034 0.5463

---

Entry 3:
PrScTaO6: optimized geometry, PBE.

space-group type = P4_2nm, No. 102
V = 254 Å³ per cell
formation energy without anion corrections = -2.920 eV per atom
DOS at the Fermi energy = 4.957 states/eV/f.u.

abc: 5.0351 5.0351 10.0145
angles: 90.00 90.00 90.00
Sites, in units of the cell vectors:
Pr: 0.0000 0.0000 0.0000
Pr: 0.5000 0.5000 0.5000
Sc: 0.0000 0.0000 0.3357
Sc: 0.5000 0.5000 0.8357
Ta: 0.0000 0.0000 0.6631
Ta: 0.5000 0.5000 0.1631
O: 0.1744 0.1744 0.5063
O: 0.2023 0.2023 0.8028
O: 0.2188 0.2188 0.1858
O: 0.2812 0.7188 0.6858
O: 0.2977 0.7023 0.3028
O: 0.3256 0.6744 0.0063
O: 0.6744 0.3256 0.0063
O: 0.7023 0.2977 0.3028
O: 0.7188 0.2812 0.6858
O: 0.7812 0.7812 0.1858
O: 0.7977 0.7977 0.8028
O: 0.8256 0.8256 0.5063